Model A:
First-principles (PBE+U) data for an optimized crystal structure of Li4MnFe5O12, as listed in Alexandria via LeMat-Bulk.

a = 4.9957 Å, b = 4.9957 Å, c = 10.0688 Å
α = 85.36°, β = 85.36°, γ = 119.85°
Site moments in Bohr magnetons follow the coordinates.
Atoms (fractional coordinates):
Li 0.2564 0.9231 0.7437  0.00
Li 0.0769 0.7436 0.2563  0.00
Li 0.9185 0.2538 0.7433  0.00
Li 0.7462 0.0815 0.2567  0.00
Mn 0.0001 0.9999 0.5000  3.19
Fe 0.1662 0.8338 0.0000  2.39
Fe 0.6649 0.3351 0.5000  1.13
Fe 0.3351 0.6649 0.5000  1.13
Fe 0.8332 0.1668 0.0000  1.21
Fe 0.5025 0.4975 0.0000  4.35
O 0.3625 0.0258 0.3967  -0.08
O 0.9742 0.6375 0.6033  -0.08
O 0.4601 0.8117 0.1058  0.02
O 0.8160 0.4683 0.1078  0.02
O 0.1883 0.5399 0.8942  0.02
O 0.8893 0.8825 0.8933  0.02
O 0.5317 0.1840 0.8922  0.02
O 0.0258 0.3620 0.3967  -0.08
O 0.7115 0.7117 0.3953  -0.07
O 0.6380 0.9742 0.6033  -0.08
O 0.2883 0.2885 0.6047  -0.07
O 0.1175 0.1107 0.1067  0.02

Model B:
First-principles (PBE+U) data for an optimized crystal structure of Li4MnFe5O12, as listed in Alexandria via LeMat-Bulk.

a = 4.9686 Å, b = 4.9686 Å, c = 10.0216 Å
α = 94.39°, β = 94.39°, γ = 120.39°
Site moments in Bohr magnetons follow the coordinates.
Atoms (fractional coordinates):
Li 0.5847 0.2534 0.7453  0.00
Li 0.7466 0.4153 0.2547  0.00
Li 0.2534 0.5847 0.7453  0.00
Li 0.4153 0.7466 0.2547  0.00
Mn 0.0000 0.0000 0.0000  3.21
Fe 0.8348 0.1652 0.5000  1.12
Fe 0.3337 0.6663 0.0000  1.14
Fe 0.6663 0.3337 0.0000  1.14
Fe 0.1652 0.8348 0.5000  1.12
Fe 0.5000 0.5000 0.5000  2.40
O 0.7011 0.0337 0.1057  -0.08
O 0.9663 0.2989 0.8943  -0.08
O 0.4763 0.1381 0.3962  -0.11
O 0.1381 0.4763 0.3962  -0.11
O 0.8619 0.5237 0.6038  -0.11
O 0.2154 0.2154 0.6051  -0.07
O 0.5237 0.8619 0.6038  -0.11
O 0.0337 0.7011 0.1057  -0.08
O 0.3679 0.3679 0.1056  -0.08
O 0.2989 0.9663 0.8943  -0.08
O 0.6321 0.6321 0.8944  -0.08
O 0.7846 0.7846 0.3949  -0.07

The structure with the least stability is model B.

Model A:
First-principles (PBE+U) data for an optimized crystal structure of Li2MnFe3O8, as listed in Alexandria via LeMat-Bulk.

a = 5.9117 Å, b = 5.9117 Å, c = 9.5273 Å
α = 90.00°, β = 90.00°, γ = 120.00°
Site moments in Bohr magnetons follow the coordinates.
Atoms (fractional coordinates):
Li 0.3333 0.6667 0.8985  0.01
Li 0.0000 0.0000 0.9936  0.01
Li 0.0000 0.0000 0.4936  0.01
Li 0.6667 0.3333 0.3985  0.01
Mn 0.3333 0.6667 0.4826  3.42
Mn 0.6667 0.3333 0.9826  3.42
Fe 0.1696 0.8304 0.2120  4.23
Fe 0.1696 0.3391 0.2120  4.23
Fe 0.6609 0.8304 0.2120  4.23
Fe 0.3391 0.1696 0.7120  4.23
Fe 0.8304 0.6609 0.7120  4.23
Fe 0.8304 0.1696 0.7120  4.23
O 0.1690 0.8310 0.5974  0.06
O 0.0426 0.5213 0.3471  0.06
O 0.3333 0.6667 0.1039  0.14
O 0.0000 0.0000 0.3057  0.12
O 0.0000 0.0000 0.8057  0.12
O 0.1690 0.3380 0.5974  0.06
O 0.4787 0.9574 0.3471  0.06
O 0.4787 0.5213 0.3471  0.06
O 0.3380 0.1690 0.0974  0.06
O 0.6620 0.8310 0.5974  0.06
O 0.5213 0.4787 0.8471  0.06
O 0.5213 0.0426 0.8471  0.06
O 0.6667 0.3333 0.6039  0.14
O 0.8310 0.6620 0.0974  0.06
O 0.9574 0.4787 0.8471  0.06
O 0.8310 0.1690 0.0974  0.06

Calculated values
N(E_F) ... 9.92 states/eV per cell

Model B:
First-principles (PBE+U) data for an optimized crystal structure of Li2MnFe3O8, as listed in Alexandria via LeMat-Bulk.

a = 5.7803 Å, b = 5.7803 Å, c = 5.7803 Å
α = 60.25°, β = 60.25°, γ = 60.25°
Site moments in Bohr magnetons follow the coordinates.
Atoms (fractional coordinates):
Li 0.1263 0.1263 0.1263  0.01
Li 0.8737 0.8737 0.8737  0.01
Mn 0.5000 0.5000 0.5000  3.13
Fe 0.5000 0.0000 0.5000  1.48
Fe 0.0000 0.5000 0.5000  1.48
Fe 0.5000 0.5000 0.0000  1.48
O 0.2643 0.2643 0.2643  -0.04
O 0.2643 0.2643 0.7106  -0.08
O 0.7106 0.2643 0.2643  -0.08
O 0.2643 0.7106 0.2643  -0.08
O 0.7357 0.2894 0.7357  -0.08
O 0.2894 0.7357 0.7357  -0.08
O 0.7357 0.7357 0.2894  -0.08
O 0.7357 0.7357 0.7357  -0.04

Calculated values
N(E_F) ... 2.74 states/eV per cell

Model C:
First-principles (PBE+U) data for an optimized crystal structure of Li2MnFe3O8, as listed in Alexandria via LeMat-Bulk.

a = 5.9210 Å, b = 5.9210 Å, c = 6.0032 Å
α = 59.78°, β = 59.78°, γ = 58.51°
Site moments in Bohr magnetons follow the coordinates.
Atoms (fractional coordinates):
Li 0.0000 0.5000 0.5000  0.01
Li 0.5000 0.0000 0.5000  0.01
Mn 0.0000 0.0000 0.0000  3.19
Fe 0.5000 0.0000 0.0000  3.07
Fe 0.5000 0.5000 0.0000  2.44
Fe 0.0000 0.5000 0.0000  3.07
O 0.7528 0.2562 0.7838  -0.05
O 0.7285 0.7285 0.8005  -0.16
O 0.2562 0.7528 0.7838  -0.05
O 0.2281 0.2281 0.7984  -0.13
O 0.7719 0.7719 0.2016  -0.13
O 0.7438 0.2472 0.2162  -0.05
O 0.2715 0.2715 0.1995  -0.16
O 0.2472 0.7438 0.2162  -0.05

Model D:
First-principles (PBE+U) data for an optimized crystal structure of Li2MnFe3O8, as listed in Alexandria via LeMat-Bulk.

a = 8.1795 Å, b = 8.1795 Å, c = 8.1795 Å
α = 90.00°, β = 90.00°, γ = 90.00°
Site moments in Bohr magnetons follow the coordinates.
Atoms (fractional coordinates):
Li 0.4988 0.4988 0.4988  0.00
Li 0.7512 0.7512 0.7512  0.00
Li 0.7488 0.2488 0.2512  0.00
Li 0.0012 0.5012 0.9988  0.00
Li 0.9988 0.0012 0.5012  0.00
Li 0.2512 0.7488 0.2488  0.00
Li 0.2488 0.2512 0.7488  0.00
Li 0.5012 0.9988 0.0012  0.00
Mn 0.6250 0.3750 0.8750  3.14
Mn 0.8750 0.6250 0.3750  3.14
Mn 0.1250 0.1250 0.1250  3.14
Mn 0.3750 0.8750 0.6250  3.14
Fe 0.6248 0.6252 0.1250  1.49
Fe 0.6250 0.8752 0.3748  1.49
Fe 0.6252 0.1250 0.6248  1.49
Fe 0.8748 0.8750 0.1248  1.49
Fe 0.8750 0.1248 0.8748  1.49
Fe 0.8752 0.3748 0.6250  1.49
Fe 0.1248 0.8748 0.8750  1.49
Fe 0.1250 0.6248 0.6252  1.49
Fe 0.1252 0.3750 0.3752  1.49
Fe 0.3748 0.6250 0.8752  1.49
Fe 0.3750 0.3752 0.1252  1.49
Fe 0.3752 0.1252 0.3750  1.49
O 0.6134 0.6111 0.8878  -0.07
O 0.6122 0.3866 0.1111  -0.07
O 0.6119 0.1119 0.3881  -0.09
O 0.6389 0.6366 0.3622  -0.07
O 0.6111 0.8878 0.6134  -0.07
O 0.6381 0.8619 0.1381  -0.09
O 0.6378 0.1389 0.8634  -0.07
O 0.6366 0.3622 0.6389  -0.07
O 0.8634 0.6378 0.1389  -0.07
O 0.8622 0.8611 0.3634  -0.07
O 0.8619 0.1381 0.6381  -0.09
O 0.8889 0.1122 0.1134  -0.07
O 0.8611 0.3634 0.8622  -0.07
O 0.8881 0.8881 0.8881  -0.09
O 0.8878 0.6134 0.6111  -0.07
O 0.8866 0.3889 0.3878  -0.07
O 0.1134 0.8889 0.1122  -0.07
O 0.1122 0.1134 0.8889  -0.07
O 0.1119 0.3881 0.6119  -0.09
O 0.1389 0.8634 0.6378  -0.07
O 0.1111 0.6122 0.3866  -0.07
O 0.1381 0.6381 0.8619  -0.09
O 0.1378 0.3611 0.1366  -0.07
O 0.1366 0.1378 0.3611  -0.07
O 0.3634 0.8622 0.8611  -0.07
O 0.3622 0.6389 0.6366  -0.07
O 0.3619 0.3619 0.3619  -0.09
O 0.3889 0.3878 0.8866  -0.07
O 0.3611 0.1366 0.1378  -0.07
O 0.3881 0.6119 0.1119  -0.09
O 0.3878 0.8866 0.3889  -0.07
O 0.3866 0.1111 0.6122  -0.07

Calculated values
N(E_F) ... 18.89 states/eV per cell

The structure with the least stability is model D.

Model A:
First-principles (PBE+U) data for an optimized crystal structure of LiMn2Fe2P4O16, as listed in Alexandria via LeMat-Bulk.

a = 5.9823 Å, b = 4.9729 Å, c = 9.9230 Å
α = 89.37°, β = 90.00°, γ = 90.00°
Site moments in Bohr magnetons follow the coordinates.
Atoms (fractional coordinates):
Li 0.0000 0.0649 0.0572  0.00
Mn 0.5000 0.5749 0.7820  3.93
Mn 0.0000 0.0812 0.7110  3.97
Fe 0.5000 0.9427 0.2779  4.37
Fe 0.0000 0.4778 0.2383  3.78
P 0.0000 0.5948 0.8997  0.01
P 0.5000 0.0969 0.5971  0.02
P 0.0000 0.9234 0.4089  0.02
P 0.5000 0.3783 0.0942  0.01
O 0.5000 0.3470 0.9394  -0.01
O 0.0000 0.2839 0.8829  -0.02
O 0.2018 0.7345 0.8280  0.01
O 0.7982 0.7345 0.8280  0.01
O 0.7010 0.2387 0.6691  0.01
O 0.2990 0.2387 0.6691  0.01
O 0.5000 0.7893 0.6216  -0.03
O 0.0000 0.8480 0.5615  -0.04
O 0.5000 0.1517 0.4453  0.06
O 0.0000 0.2259 0.3925  0.03
O 0.2032 0.7822 0.3376  0.09
O 0.7968 0.7822 0.3376  0.09
O 0.7045 0.2201 0.1565  0.07
O 0.2955 0.2201 0.1565  0.07
O 0.5000 0.6745 0.1330  0.08
O 0.0000 0.6640 0.0501  0.01

Calculated values
N(E_F) ... 0.21 states/eV per cell

Model B:
First-principles (PBE+U) data for an optimized crystal structure of LiMn2Fe2P4O16, as listed in Alexandria via LeMat-Bulk.

a = 5.9403 Å, b = 4.9528 Å, c = 10.1194 Å
α = 90.01°, β = 90.00°, γ = 90.00°
Site moments in Bohr magnetons follow the coordinates.
Atoms (fractional coordinates):
Li 0.0000 0.0729 0.9470  0.00
Mn 0.0000 0.4775 0.7661  4.62
Mn 0.5000 0.9212 0.7084  4.00
Fe 0.0000 0.0424 0.2798  4.37
Fe 0.5000 0.5401 0.2281  4.38
P 0.5000 0.3876 0.9031  0.01
P 0.0000 0.9261 0.5877  0.02
P 0.5000 0.0895 0.4031  0.01
P 0.0000 0.5967 0.1032  0.01
O 0.0000 0.6801 0.9585  0.03
O 0.5000 0.6897 0.8632  -0.02
O 0.2891 0.2376 0.8465  0.04
O 0.7109 0.2376 0.8465  0.04
O 0.7994 0.7792 0.6607  0.00
O 0.2006 0.7792 0.6607  0.00
O 0.0000 0.2271 0.6042  0.03
O 0.5000 0.1526 0.5517  -0.01
O 0.0000 0.8443 0.4404  0.13
O 0.5000 0.7854 0.3788  0.10
O 0.2983 0.2360 0.3295  0.13
O 0.7017 0.2360 0.3295  0.13
O 0.7987 0.7356 0.1792  0.13
O 0.2013 0.7356 0.1792  0.13
O 0.0000 0.2861 0.1189  0.06
O 0.5000 0.3730 0.0561  0.10

Calculated values
N(E_F) ... 0.56 states/eV per cell

The structure with the least stability is model A.

Model A:
First-principles (PBE+U) data for an optimized crystal structure of Li2MnFeP2O8, as listed in Alexandria via LeMat-Bulk.

a = 4.7730 Å, b = 10.5239 Å, c = 6.1253 Å
α = 90.00°, β = 90.00°, γ = 90.00°
Site moments in Bohr magnetons follow the coordinates.
Atoms (fractional coordinates):
Li 0.9962 0.0008 0.0017  0.00
Li 0.9962 0.0008 0.4983  0.00
Li 0.5038 0.5008 0.0018  0.00
Li 0.5038 0.5008 0.4982  0.00
Mn 0.0241 0.7190 0.7500  4.66
Mn 0.4759 0.2190 0.7500  4.66
Fe 0.9738 0.2814 0.2500  3.77
Fe 0.5262 0.7814 0.2500  3.77
P 0.4093 0.0931 0.2500  0.01
P 0.0907 0.5931 0.2500  0.01
P 0.9191 0.4067 0.7500  0.01
P 0.5809 0.9067 0.7500  0.01
O 0.7077 0.0427 0.7500  0.02
O 0.7922 0.5427 0.7500  0.02
O 0.7315 0.0977 0.2500  0.02
O 0.7684 0.5977 0.2500  0.02
O 0.2409 0.4050 0.7500  0.02
O 0.2591 0.9049 0.7500  0.02
O 0.2102 0.4554 0.2500  0.02
O 0.2898 0.9555 0.2500  0.02
O 0.2740 0.1625 0.0486  0.03
O 0.2740 0.1625 0.4514  0.03
O 0.2260 0.6625 0.0486  0.03
O 0.2260 0.6625 0.4514  0.03
O 0.7885 0.3362 0.5477  0.04
O 0.7885 0.3362 0.9523  0.04
O 0.7116 0.8362 0.5477  0.04
O 0.7116 0.8362 0.9523  0.04

Calculated values
N(E_F) ... 0.00 states/eV per cell

Model B:
First-principles (PBE+U) data for an optimized crystal structure of Li2MnFeP2O8, as listed in Alexandria via LeMat-Bulk.

a = 4.7672 Å, b = 10.4550 Å, c = 6.1313 Å
α = 90.21°, β = 89.86°, γ = 90.33°
Site moments in Bohr magnetons follow the coordinates.
Atoms (fractional coordinates):
Li 0.0023 0.9993 0.0011  0.00
Li 0.0064 0.9975 0.5033  0.00
Li 0.4987 0.5012 0.9983  0.00
Li 0.4981 0.5014 0.4992  0.00
Mn 0.9694 0.2817 0.2527  2.83
Mn 0.4772 0.2189 0.7530  4.66
Fe 0.5289 0.7804 0.2494  3.78
Fe 0.0302 0.7185 0.7499  3.78
P 0.4136 0.0934 0.2524  0.01
P 0.9145 0.4100 0.7473  0.01
P 0.0820 0.5937 0.2492  0.01
P 0.5875 0.9037 0.7502  0.01
O 0.7130 0.0413 0.7525  0.02
O 0.2028 0.4555 0.2480  0.01
O 0.7369 0.1004 0.2499  -0.01
O 0.2367 0.4070 0.7470  0.02
O 0.7906 0.5472 0.7482  0.02
O 0.2970 0.9540 0.2477  0.02
O 0.7596 0.5966 0.2493  0.02
O 0.2647 0.9015 0.7501  0.02
O 0.2773 0.1641 0.0536  0.02
O 0.2799 0.1590 0.4574  0.04
O 0.7811 0.3394 0.5451  0.02
O 0.7811 0.3391 0.9478  0.04
O 0.2167 0.6640 0.0478  0.04
O 0.2164 0.6641 0.4511  0.04
O 0.7190 0.8341 0.5467  0.04
O 0.7183 0.8328 0.9513  0.04

Calculated values
N(E_F) ... 0.00 states/eV per cell

The structure with the least stability is model B.